--- i ---
Density functional theory data (PBE) for a geometry-optimized CeHoGa4 structure.

Its volume is 21.59 A^3/atom.

It has space group I-4m2 (No. 119), with a = 4.197 Å, b = 4.197 Å, c = 14.706 Å, α = 90.00°, β = 90.00° and γ = 90.00°. Symmetry generates all atoms from Ce at (0.000, 0.000, 0.000), Ho at (0.000, 0.500, 0.250), Ga at (0.000, 0.000, 0.416) and Ga at (0.000, 0.500, 0.668).

***

--- ii ---
Density functional theory data (PBE) for a geometry-optimized CeHoGa4 structure.

Its volume is 20.14 A^3/atom.

It has space group F-43m (No. 216), with a = 7.848 Å, b = 7.848 Å, c = 7.848 Å, α = 90.00°, β = 90.00° and γ = 90.00°. Symmetry generates all atoms from Ce at (0.000, 0.000, 0.000), Ho at (0.250, 0.250, 0.750) and Ga at (0.125, 0.125, 0.375).

***

--- iii ---
Density functional theory data (PBE) for a geometry-optimized CeHoGa4 structure.

Its volume is 21.41 A^3/atom.

It has space group P6/mmm (No. 191), with a = 4.2470 Å, b = 4.2470 Å, c = 8.2255 Å, α = 90.00°, β = 90.00° and γ = 120.00°. Symmetry generates all atoms from Ce at (0.0000, 0.0000, 0.0000), Ho at (0.0000, 0.0000, 0.5000) and Ga at (0.3333, 0.6667, 0.2538).

***

What is the stability order? It is iii, i, ii, from most stable to least stable.

***

--- i ---
Density functional theory data (PBE) for a geometry-optimized CeHoGaIr structure.

Its volume is 21.98 A^3/atom.

It has space group F-43m (No. 216), with a = 7.058 Å, b = 7.058 Å, c = 7.058 Å, α = 90.00°, β = 90.00° and γ = 90.00°. Symmetry generates all atoms from Ce at (0.000, 0.000, 0.000), Ho at (0.000, 0.000, 0.500), Ga at (0.250, 0.250, 0.250) and Ir at (0.250, 0.250, 0.750).

***

--- ii ---
Density functional theory data (PBE) for a geometry-optimized CeHoGaIr structure.

Its volume is 22.88 A^3/atom.

It has space group Amm2 (No. 38), with a = 4.428 Å, b = 4.149 Å, c = 9.962 Å, α = 90.00°, β = 90.00° and γ = 90.00°. Symmetry generates all atoms from Ce at (0.000, 0.000, 0.000), Ho at (0.500, 0.000, 0.286), Ga at (0.500, 0.000, 0.579) and Ir at (0.000, 0.000, 0.727).

***

What is the stability order? It is ii, i, from most stable to least stable.

***

--- i ---
Density functional theory data (PBE) for a geometry-optimized CeHoTlGa structure.

Its volume is 26.03 A^3/atom.

It has space group F-43m (No. 216), with a = 7.468 Å, b = 7.468 Å, c = 7.468 Å, α = 90.00°, β = 90.00° and γ = 90.00°. Symmetry generates all atoms from Ce at (0.000, 0.000, 0.000), Ho at (0.000, 0.000, 0.500), Tl at (0.250, 0.250, 0.250) and Ga at (0.250, 0.250, 0.750).

***

--- ii ---
Density functional theory data (PBE) for a geometry-optimized CeHoTlGa structure.

Its volume is 25.52 A^3/atom.

It has space group P4mm (No. 99), with a = 3.519 Å, b = 3.519 Å, c = 8.245 Å, α = 90.00°, β = 90.00° and γ = 90.00°. Symmetry generates all atoms from Ce at (0.000, 0.000, 0.000), Ho at (0.000, 0.000, 0.541), Tl at (0.500, 0.500, 0.279) and Ga at (0.500, 0.500, 0.763).

***

What is the stability order? It is ii, i, from most stable to least stable.

***

--- i ---
Density functional theory data (PBE) for a geometry-optimized Ce4InGa structure.

Its volume is 25.61 A^3/atom.

It has space group C2/c (No. 15), with a = 9.043 Å, b = 12.850 Å, c = 5.640 Å, α = 90.00°, β = 110.34° and γ = 90.00°. Symmetry generates all atoms from Ce at (0.123, 0.192, 0.165), Ce at (0.213, 0.395, 0.370), In at (0.000, 0.384, 0.750) and Ga at (0.000, 0.022, 0.750).

***

--- ii ---
Density functional theory data (PBE) for a geometry-optimized Ce4InGa structure.

Its volume is 23.85 A^3/atom.

It has space group C2/m (No. 12), with a = 7.923 Å, b = 9.174 Å, c = 5.169 Å, α = 90.00°, β = 130.40° and γ = 90.00°. Symmetry generates all atoms from Ce at (0.246, 0.173, 0.266), In at (0.000, 0.500, 0.000) and Ga at (0.000, 0.000, 0.500).

***

What is the stability order? It is i, ii, from most stable to least stable.

***

--- i ---
Density functional theory data (PBE) for a geometry-optimized Ce4InGa2 structure.

Its volume is 29.00 A^3/atom.

It has space group I4/mmm (No. 139), with a = 5.809 Å, b = 5.809 Å, c = 12.032 Å, α = 90.00°, β = 90.00° and γ = 90.00°. Symmetry generates all atoms from Ce at (0.000, 0.500, 0.000), Ce at (0.000, 0.500, 0.250), In at (0.000, 0.000, 0.000) and Ga at (0.000, 0.000, 0.382).

***

--- ii ---
Density functional theory data (PBE) for a geometry-optimized Ce4InGa2 structure.

Its volume is 28.27 A^3/atom.

It has space group R-3m (No. 166, hexagonal axes), with a = 4.2558 Å, b = 4.2558 Å, c = 37.8482 Å, α = 90.00°, β = 90.00° and γ = 120.00°. Symmetry generates all atoms from Ce at (0.0000, 0.0000, 0.1090), Ce at (0.0000, 0.0000, 0.3151), In at (0.0000, 0.0000, 0.5000) and Ga at (0.0000, 0.0000, 0.3972).

***

What is the stability order? It is ii, i, from most stable to least stable.

***

--- i ---
Density functional theory data (PBE) for a geometry-optimized Ce5In2Ga structure.

Its volume is 26.32 A^3/atom.

It has space group Pbam (No. 55), with a = 6.693 Å, b = 13.656 Å, c = 4.608 Å, α = 90.00°, β = 90.00° and γ = 90.00°. Symmetry generates all atoms from Ce at (0.000, 0.000, 0.000), Ce at (0.031, 0.277, 0.000), Ce at (0.226, 0.374, 0.500), In at (0.233, 0.125, 0.500) and Ga at (0.000, 0.500, 0.000).

***

--- ii ---
Density functional theory data (PBE) for a geometry-optimized Ce5In2Ga structure.

Its volume is 25.83 A^3/atom.

It has space group I4/mmm (No. 139), with a = 4.631 Å, b = 4.631 Å, c = 19.274 Å, α = 90.00°, β = 90.00° and γ = 90.00°. Symmetry generates all atoms from Ce at (0.000, 0.000, 0.000), Ce at (0.000, 0.500, 0.121), In at (0.000, 0.000, 0.250) and Ga at (0.000, 0.000, 0.500).

***

What is the stability order? It is ii, i, from most stable to least stable.

***

--- i ---
Density functional theory data (PBE) for a geometry-optimized Ce4InGa3 structure.

Its volume is 24.74 A^3/atom.

It has space group Pmmm (No. 47), with a = 3.134 Å, b = 5.635 Å, c = 11.204 Å, α = 90.00°, β = 90.00° and γ = 90.00°. Symmetry generates all atoms from Ce at (0.000, 0.000, 0.000), Ce at (0.000, 0.000, 0.500), Ce at (0.000, 0.500, 0.238), In at (0.500, 0.500, 0.500), Ga at (0.500, 0.000, 0.251) and Ga at (0.500, 0.500, 0.000).

***

--- ii ---
Density functional theory data (PBE) for a geometry-optimized Ce4InGa3 structure.

Its volume is 26.56 A^3/atom.

It has space group Pmm2 (No. 25), with a = 4.216 Å, b = 4.440 Å, c = 11.349 Å, α = 90.00°, β = 90.00° and γ = 90.00°. Symmetry generates all atoms from Ce at (0.000, 0.000, 0.000), Ce at (0.000, 0.500, 0.484), Ce at (0.500, 0.000, 0.695), Ce at (0.500, 0.500, 0.208), In at (0.000, 0.500, 0.777), Ga at (0.000, 0.000, 0.277), Ga at (0.500, 0.000, 0.417) and Ga at (0.500, 0.500, 0.931).

***

What is the stability order? It is i, ii, from most stable to least stable.

***

--- i ---
Density functional theory data (PBE) for a geometry-optimized LaCeInGa structure.

Its volume is 26.81 A^3/atom.

It has space group P4mm (No. 99), with a = 3.469 Å, b = 3.469 Å, c = 8.913 Å, α = 90.00°, β = 90.00° and γ = 90.00°. Symmetry generates all atoms from La at (0.000, 0.000, 0.000), Ce at (0.000, 0.000, 0.538), In at (0.500, 0.500, 0.276) and Ga at (0.500, 0.500, 0.761).

***

--- ii ---
Density functional theory data (PBE) for a geometry-optimized LaCeInGa structure.

Its volume is 27.90 A^3/atom.

It has space group F-43m (No. 216), with a = 7.642 Å, b = 7.642 Å, c = 7.642 Å, α = 90.00°, β = 90.00° and γ = 90.00°. Symmetry generates all atoms from La at (0.000, 0.000, 0.000), Ce at (0.000, 0.000, 0.500), In at (0.250, 0.250, 0.750) and Ga at (0.250, 0.250, 0.250).

***

What is the stability order? It is i, ii, from most stable to least stable.

***

--- i ---
Density functional theory data (PBE) for a geometry-optimized CePuInGa structure.

Its volume is 25.92 A^3/atom.

It has space group F-43m (No. 216), with a = 7.457 Å, b = 7.457 Å, c = 7.457 Å, α = 90.00°, β = 90.00° and γ = 90.00°. Symmetry generates all atoms from Ce at (0.000, 0.000, 0.000), Pu at (0.000, 0.000, 0.500), In at (0.250, 0.250, 0.750) and Ga at (0.250, 0.250, 0.250).

***

--- ii ---
Density functional theory data (PBE) for a geometry-optimized CePuInGa structure.

Its volume is 24.26 A^3/atom.

It has space group P4mm (No. 99), with a = 3.240 Å, b = 3.240 Å, c = 9.243 Å, α = 90.00°, β = 90.00° and γ = 90.00°. Symmetry generates all atoms from Ce at (0.000, 0.000, 0.000), Pu at (0.000, 0.000, 0.539), In at (0.500, 0.500, 0.272) and Ga at (0.500, 0.500, 0.768).

***

What is the stability order? It is ii, i, from most stable to least stable.

***

--- i ---
Density functional theory data (PBE) for a geometry-optimized CeScInGa structure.

Its volume is 22.78 A^3/atom.

It has space group P4mm (No. 99), with a = 3.279 Å, b = 3.279 Å, c = 8.477 Å, α = 90.00°, β = 90.00° and γ = 90.00°. Symmetry generates all atoms from Ce at (0.000, 0.000, 0.000), Sc at (0.000, 0.000, 0.540), In at (0.500, 0.500, 0.288) and Ga at (0.500, 0.500, 0.750).

***

--- ii ---
Density functional theory data (PBE) for a geometry-optimized CeScInGa structure.

Its volume is 23.81 A^3/atom.

It has space group F-43m (No. 216), with a = 7.250 Å, b = 7.250 Å, c = 7.250 Å, α = 90.00°, β = 90.00° and γ = 90.00°. Symmetry generates all atoms from Ce at (0.000, 0.000, 0.000), Sc at (0.000, 0.000, 0.500), In at (0.250, 0.250, 0.750) and Ga at (0.250, 0.250, 0.250).

***

What is the stability order? It is i, ii, from most stable to least stable.

***

--- i ---
Density functional theory data (PBE) for a geometry-optimized CeSmInGa structure.

Its volume is 25.70 A^3/atom.

It has space group P4mm (No. 99), with a = 3.440 Å, b = 3.440 Å, c = 8.684 Å, α = 90.00°, β = 90.00° and γ = 90.00°. Symmetry generates all atoms from Ce at (0.000, 0.000, 0.000), Sm at (0.000, 0.000, 0.463), In at (0.500, 0.500, 0.731) and Ga at (0.500, 0.500, 0.233).

***

--- ii ---
Density functional theory data (PBE) for a geometry-optimized CeSmInGa structure.

Its volume is 26.55 A^3/atom.

It has space group F-43m (No. 216), with a = 7.517 Å, b = 7.517 Å, c = 7.517 Å, α = 90.00°, β = 90.00° and γ = 90.00°. Symmetry generates all atoms from Ce at (0.000, 0.000, 0.000), Sm at (0.000, 0.000, 0.500), In at (0.250, 0.250, 0.250) and Ga at (0.250, 0.250, 0.750).

***

What is the stability order? It is i, ii, from most stable to least stable.

***

--- i ---
Density functional theory data (PBE) for a geometry-optimized Ce4GaIr structure.

Its volume is 26.62 A^3/atom.

It has space group Cmcm (No. 63), with a = 5.237 Å, b = 19.768 Å, c = 6.171 Å, α = 90.00°, β = 90.00° and γ = 90.00°. Symmetry generates all atoms from Ce at (0.000, 0.056, 0.250), Ce at (0.000, 0.213, 0.029), Ce at (0.000, 0.403, 0.250), Ga at (0.000, 0.349, 0.750) and Ir at (0.000, 0.086, 0.750).

***

--- ii ---
Density functional theory data (PBE) for a geometry-optimized Ce4GaIr structure.

Its volume is 25.73 A^3/atom.

It has space group F-43m (No. 216), with a = 13.518 Å, b = 13.518 Å, c = 13.518 Å, α = 90.00°, β = 90.00° and γ = 90.00°. Symmetry generates all atoms from Ce at (0.000, 0.000, 0.183), Ce at (0.046, 0.250, 0.750), Ce at (0.104, 0.104, 0.396), Ga at (0.172, 0.172, 0.172) and Ir at (0.110, 0.110, 0.610).

***

What is the stability order? It is ii, i, from most stable to least stable.